Record 1
Compound: HoFeSi2Mo
Source: Alexandria via LeMat-Bulk
Functional: GGA-PBE
Structure: optimized geometry

a = 3.9398 Å, b = 3.9398 Å, c = 10.7146 Å
α = 90.00°, β = 90.00°, γ = 90.00°
Element x y z (fractional)
Ho: 0.0000 0.0000 0.0000
Ho: 0.5000 0.5000 0.5000
Fe: 0.0000 0.5000 0.2500
Fe: 0.5000 0.0000 0.7500
Si: 0.0000 0.0000 0.3869
Si: 0.0000 0.0000 0.6131
Si: 0.5000 0.5000 0.1131
Si: 0.5000 0.5000 0.8869
Mo: 0.0000 0.5000 0.7500
Mo: 0.5000 0.0000 0.2500

Summary:
Electronic total energy   -74.671 eV per cell
Density of states at the Fermi level   0.61 states/eV/atom
Space group   I-4m2, No. 119

Record 2
Compound: HoFeN
Source: Alexandria via LeMat-Bulk
Functional: GGA-PBE
Structure: optimized geometry

a = 6.3757 Å, b = 6.3757 Å, c = 3.1961 Å
α = 90.00°, β = 90.00°, γ = 120.00°
Element x y z (fractional)
Ho: 0.0000 0.4161 0.0000
Ho: 0.4161 0.0000 0.0000
Ho: 0.5839 0.5839 0.0000
Fe: 0.0000 0.7867 0.5000
Fe: 0.2133 0.2133 0.5000
Fe: 0.7867 0.0000 0.5000
N: 0.0000 0.0000 0.0000
N: 0.3333 0.6667 0.5000
N: 0.6667 0.3333 0.5000

Summary:
Electronic total energy   -66.924 eV per cell
Density of states at the Fermi level   0.43 states/eV/atom
Space group   P-62m, No. 189